This record from Alexandria describes crystalline Li2IrBr at its relaxed geometry. The functional is PBE.

Computed properties:
DOS(E_F): 0.6731 states/eV per atom
Polymorph energy (0 for the lowest one): 448 meV per atom
ΔE_f (raw): 0.1910 eV per atom
VASP energy: -0.250 Ry/atom

a b c (Å): 6.269 6.269 6.269
angles (deg): 90.00 90.00 90.00
Positions (direct):
Li 0.000 0.000 0.000
Li 0.000 0.500 0.500
Li 0.250 0.250 0.250
Li 0.250 0.750 0.750
Li 0.500 0.000 0.500
Li 0.500 0.500 0.000
Li 0.750 0.250 0.750
Li 0.750 0.750 0.250
Ir 0.250 0.250 0.750
Ir 0.250 0.750 0.250
Ir 0.750 0.250 0.250
Ir 0.750 0.750 0.750
Br 0.000 0.000 0.500
Br 0.000 0.500 0.000
Br 0.500 0.000 0.000
Br 0.500 0.500 0.500